An optimized crystal structure of UCrMo. Source: Alexandria, functional PBE.

Structure (POSCAR):
```
UCrMo
1.0
-1.545 0.593 2.438
1.435 -2.140 1.430
4.040 4.525 -0.320
Cr Mo U
1 1 1
Direct
0.684 0.684 0.368 Cr
0.308 0.308 0.616 Mo
0.008 0.008 0.016 U
```

Computed properties:
uncorrected energy	-10.290	eV/atom
space-group type	I4mm